CrSi2Os GGA-PBE optimized geometry; space-group type = P4mm; density of states at the Fermi level = 0.71 states/eV/atom; formation energy (no corrections) = -0.249 eV per atom
1.0
-2.2533 1.3240 -1.5776
-0.1950 -2.4650 -1.7903
-3.6571 -2.1773 3.3962
Cr Os Si
1 1 2
Direct
0.0000 0.0000 0.4512
0.5000 0.5000 0.7813
0.0000 0.0000 0.0017
0.5000 0.5000 0.2658